The following is a PBE calculation of crystalline PmY3Sc at its relaxed geometry, from Alexandria via LeMat-Bulk.

a = 5.6055 Å, b = 6.2293 Å, c = 9.5145 Å
α = 109.06°, β = 90.00°, γ = 90.00°
Last column: nearest neighbours and their distance in Å.
Element x y z (fractional)
Pm1 0.2500 0.8661 0.3944  8 Y 3.49-3.69, 2 Pm 3.53, 2 Sc 3.57-3.59
Pm2 0.7500 0.1339 0.6056  8 Y 3.49-3.69, 2 Pm 3.53, 2 Sc 3.57-3.59
Y1 0.7500 0.5326 0.3972  3 Sc 3.48-3.64, 4 Pm 3.49-3.65, 5 Y 3.52-3.65
Y2 0.2500 0.4674 0.6028  3 Sc 3.48-3.64, 4 Pm 3.49-3.65, 5 Y 3.52-3.65
Y3 0.7500 0.3312 0.0016  4 Sc 3.46-3.60, 7 Y 3.49-3.64, 1 Pm 3.56
Y4 0.2500 0.0590 0.8044  3 Sc 3.46-3.54, 6 Y 3.49-3.65, 3 Pm 3.50-3.69
Y5 0.2500 0.6688 0.9984  4 Sc 3.46-3.60, 7 Y 3.49-3.64, 1 Pm 3.56
Y6 0.7500 0.9410 0.1956  3 Sc 3.46-3.54, 6 Y 3.49-3.65, 3 Pm 3.50-3.69
Sc1 0.2500 0.2671 0.1980  10 Y 3.46-3.64, 2 Pm 3.57-3.59
Sc2 0.7500 0.7329 0.8020  10 Y 3.46-3.64, 2 Pm 3.57-3.59

Calculated values
symmetry = No. 11
energy of formation = 0.135 eV per formula unit
energy above the lowest structure with this stoichiometry = 0.0 kJ per mole of atoms
DOS(E_F) = 18.9 states/eV per cell
crystal system = monoclinic
size of the total moment = 0.00 μB/cell

The following is a PBE calculation of crystalline Pm6YSc3 at its relaxed geometry, from Alexandria via LeMat-Bulk.

a = 9.7582 Å, b = 9.7582 Å, c = 6.8308 Å
α = 44.42°, β = 44.42°, γ = 60.00°
Last column: nearest neighbours and their distance in Å.
Element x y z (fractional)
Pm1 0.8995 0.5603 0.3008  1 Y 3.31, 2 Sc 3.34
Pm2 0.2394 0.8995 0.3008  1 Y 3.31, 2 Sc 3.34
Pm3 0.5603 0.2394 0.3008  1 Y 3.31, 2 Sc 3.34
Pm4 0.0653 0.3998 0.8007  3 Sc 3.26-3.42
Pm5 0.7343 0.0653 0.8007  3 Sc 3.26-3.42
Pm6 0.3998 0.7343 0.8007  3 Sc 3.26-3.42
Y1 0.9003 0.9003 0.2990  2 Sc 3.00, 3 Pm 3.31
Sc1 0.4003 0.4003 0.7990  2 Sc 2.79
Sc2 0.6412 0.6412 0.0763  1 Sc 2.79, 1 Y 3.00
Sc3 0.1596 0.1596 0.5211  1 Sc 2.79, 1 Y 3.00

Calculated values
symmetry = No. 146
energy of formation = 1.833 eV per formula unit
energy above the lowest structure with this stoichiometry = 4.3 kJ per mole of atoms
DOS(E_F) = 19.1 states/eV per cell
crystal system = trigonal
size of the total moment = 0.98 μB/cell

The following is a PBE calculation of crystalline Pm3Y7Sc2 at its relaxed geometry, from Alexandria via LeMat-Bulk.

a = 3.6014 Å, b = 5.5286 Å, c = 20.3602 Å
α = 90.00°, β = 95.10°, γ = 90.00°
Last column: nearest neighbours and their distance in Å.
Element x y z (fractional)
Pm1 0.5000 0.5000 0.0000  8 Y 3.30-3.33, 2 Pm 3.60
Pm2 0.8296 0.0000 0.6625  4 Sc 3.53-3.54, 2 Pm 3.60, 6 Y 3.72-3.79
Pm3 0.1704 0.0000 0.3375  4 Sc 3.53-3.54, 2 Pm 3.60, 6 Y 3.72-3.79
Y1 0.2850 0.5000 0.5705  1 Sc 3.14, 2 Y 3.38
Y2 0.7150 0.5000 0.4295  1 Sc 3.14, 2 Y 3.38
Y3 0.4103 0.0000 0.8231  6 Y 3.39-3.60, 2 Sc 3.40, 2 Pm 3.72
Y4 0.0000 0.0000 0.0000  4 Pm 3.30, 2 Y 3.60
Y5 0.5897 0.0000 0.1769  6 Y 3.39-3.60, 2 Sc 3.40, 2 Pm 3.72
Y6 0.0702 0.5000 0.1379  2 Sc 3.31, 2 Pm 3.32-3.33, 6 Y 3.39-3.60
Y7 0.9298 0.5000 0.8621  2 Sc 3.31, 2 Pm 3.32-3.33, 6 Y 3.39-3.60
Sc1 0.3605 0.5000 0.7251  5 Y 3.14-3.40
Sc2 0.6395 0.5000 0.2749  5 Y 3.14-3.40

Calculated values
symmetry = No. 10
energy of formation = 2.867 eV per formula unit
DOS(E_F) = 20.8 states/eV per cell
crystal system = monoclinic
size of the total moment = 0.12 μB/cell

The following is a PBE calculation of crystalline PmY2Sc at its relaxed geometry, from Alexandria via LeMat-Bulk.

a = 3.5300 Å, b = 3.5300 Å, c = 11.5774 Å
α = 81.23°, β = 81.23°, γ = 60.00°
Last column: nearest neighbours and their distance in Å.
Element x y z (fractional)
Y1 0.2539 0.2539 0.2384  3 Sc 3.40, 6 Y 3.53, 3 Pm 3.61
Y2 0.7461 0.7461 0.7616  3 Sc 3.40, 6 Y 3.53, 3 Pm 3.61
Sc1 0.0000 0.0000 0.0000  6 Y 3.40, 6 Sc 3.53
Pm1 0.5000 0.5000 0.5000  6 Pm 3.53, 6 Y 3.61

Calculated values
symmetry = No. 166
energy of formation = 0.208 eV per formula unit
energy above the lowest structure with this stoichiometry = 1.3 kJ per mole of atoms
DOS(E_F) = 6.4 states/eV per cell
crystal system = trigonal
size of the total moment = 0.00 μB/cell

The following is a PBE calculation of crystalline Pm15Y4Sc at its relaxed geometry, from Alexandria via LeMat-Bulk.

a = 5.1164 Å, b = 5.1164 Å, c = 25.5062 Å
α = 90.00°, β = 90.00°, γ = 90.00°
Last column: nearest neighbours and their distance in Å.
Element x y z (fractional)
Pm1 0.5000 0.5000 0.0000  8 Pm 3.55, 4 Sc 3.62
Pm2 0.5000 0.5000 0.1973  4 Y 3.62, 8 Pm 3.63
Pm3 0.5000 0.5000 0.3991  4 Y 3.62, 8 Pm 3.63
Pm4 0.5000 0.5000 0.6009  4 Y 3.62, 8 Pm 3.63
Pm5 0.5000 0.5000 0.8027  4 Y 3.62, 8 Pm 3.63
Pm6 0.5000 0.0000 0.0966  8 Pm 3.55-3.63, 2 Sc 3.55, 2 Y 3.63
Pm7 0.5000 0.0000 0.2983  8 Pm 3.62-3.63, 4 Y 3.63
Pm8 0.5000 0.0000 0.5000  8 Pm 3.62-3.63, 4 Y 3.63
Pm9 0.5000 0.0000 0.7017  8 Pm 3.62-3.63, 4 Y 3.63
Pm10 0.5000 0.0000 0.9034  8 Pm 3.55-3.63, 2 Sc 3.55, 2 Y 3.63
Pm11 0.0000 0.5000 0.0966  8 Pm 3.55-3.63, 2 Sc 3.55, 2 Y 3.63
Pm12 0.0000 0.5000 0.2983  8 Pm 3.62-3.63, 4 Y 3.63
Pm13 0.0000 0.5000 0.5000  8 Pm 3.62-3.63, 4 Y 3.63
Pm14 0.0000 0.5000 0.7017  8 Pm 3.62-3.63, 4 Y 3.63
Pm15 0.0000 0.5000 0.9034  8 Pm 3.55-3.63, 2 Sc 3.55, 2 Y 3.63
Y1 0.0000 0.0000 0.1975  12 Pm 3.62-3.63
Y2 0.0000 0.0000 0.3991  12 Pm 3.62-3.63
Y3 0.0000 0.0000 0.6009  12 Pm 3.62-3.63
Y4 0.0000 0.0000 0.8025  12 Pm 3.62-3.63
Sc1 0.0000 0.0000 0.0000  12 Pm 3.55-3.62

Calculated values
symmetry = No. 123
energy of formation = 0.342 eV per formula unit
DOS(E_F) = 26.5 states/eV per cell
crystal system = tetragonal
size of the total moment = 0.00 μB/cell

The following is a PBE calculation of crystalline Pm2Y8Sc3 at its relaxed geometry, from Alexandria via LeMat-Bulk.

a = 6.6101 Å, b = 8.7377 Å, c = 8.5628 Å
α = 120.68°, β = 96.91°, γ = 90.00°
Last column: nearest neighbours and their distance in Å.
Element x y z (fractional)
Pm1 0.2792 0.2029 0.4059  7 Y 3.23-3.54, 3 Sc 3.51-3.58
Pm2 0.7208 0.7971 0.5941  7 Y 3.23-3.54, 3 Sc 3.51-3.58
Y1 0.8867 0.5882 0.1764  3 Y 3.18-3.51, 2 Sc 3.34, 1 Pm 3.41
Y2 0.1133 0.4118 0.8236  3 Y 3.18-3.51, 2 Sc 3.34, 1 Pm 3.41
Y3 0.7882 0.1904 0.3808  1 Sc 3.16, 2 Pm 3.23-3.40
Y4 0.2118 0.8096 0.6192  1 Sc 3.16, 2 Pm 3.23-3.40
Y5 0.5762 0.5742 0.7814  3 Y 3.21-3.51, 2 Sc 3.27-3.31, 2 Pm 3.29-3.54
Y6 0.5762 0.2072 0.7814  3 Y 3.21-3.51, 2 Sc 3.27-3.31, 2 Pm 3.29-3.54
Y7 0.4238 0.7928 0.2186  3 Y 3.21-3.51, 2 Sc 3.27-3.31, 2 Pm 3.29-3.54
Y8 0.4238 0.4258 0.2186  3 Y 3.21-3.51, 2 Sc 3.27-3.31, 2 Pm 3.29-3.54
Sc1 0.5000 0.0000 0.0000  6 Y 3.16-3.27, 2 Pm 3.51
Sc2 0.0000 0.1633 0.0000  1 Sc 2.85
Sc3 0.0000 0.8367 0.0000  1 Sc 2.85

Calculated values
symmetry = No. 12
energy of formation = 3.281 eV per formula unit
energy above the lowest structure with this stoichiometry = 6.7 kJ per mole of atoms
DOS(E_F) = 20.1 states/eV per cell
crystal system = monoclinic
size of the total moment = 0.00 μB/cell

The following is a PBE calculation of crystalline Pm2Y6Sc at its relaxed geometry, from Alexandria via LeMat-Bulk.

a = 6.3131 Å, b = 10.2766 Å, c = 14.5748 Å
α = 129.08°, β = 53.65°, γ = 120.45°
Last column: nearest neighbours and their distance in Å.
Element x y z (fractional)
Pm1 0.6585 0.5337 0.5899  8 Y 3.48-3.83, 4 Pm 3.54-3.72
Pm2 0.7653 0.1819 0.5387  9 Y 3.47-3.67, 3 Pm 3.54-3.65
Pm3 0.3415 0.4663 0.4101  8 Y 3.48-3.83, 4 Pm 3.54-3.72
Pm4 0.2347 0.8181 0.4613  9 Y 3.47-3.67, 3 Pm 3.54-3.65
Y1 0.5624 0.8814 0.6293  1 Sc 3.22, 4 Pm 3.47-3.59, 2 Y 3.55-3.56
Y2 0.0252 0.3867 0.2261  2 Sc 3.37-3.65, 6 Y 3.49-3.67, 3 Pm 3.66-3.71
Y3 0.4376 0.1186 0.3707  1 Sc 3.22, 4 Pm 3.47-3.59, 2 Y 3.55-3.56
Y4 0.9748 0.6133 0.7739  2 Sc 3.37-3.65, 6 Y 3.49-3.67, 3 Pm 3.66-3.71
Y5 0.9220 0.7549 0.2873  8 Y 3.41-3.78, 4 Pm 3.65-3.67
Y6 0.5855 0.6922 0.1204  1 Sc 3.26, 7 Y 3.43-3.65, 1 Pm 3.61
Y7 0.0780 0.2451 0.7127  8 Y 3.41-3.78, 4 Pm 3.65-3.67
Y8 0.4145 0.3078 0.8796  1 Sc 3.26, 7 Y 3.43-3.65, 1 Pm 3.61
Y9 0.2817 0.6607 0.9388  2 Sc 3.29-3.58, 6 Y 3.51-3.66
Y10 0.0995 0.0532 0.2048  2 Sc 3.13-3.29, 2 Y 3.41-3.49, 1 Pm 3.48
Y11 0.7183 0.3393 0.0612  2 Sc 3.29-3.58, 6 Y 3.51-3.66
Y12 0.9005 0.9468 0.7952  2 Sc 3.13-3.29, 2 Y 3.41-3.49, 1 Pm 3.48
Sc1 0.2937 0.0096 0.9348  1 Sc 2.96, 5 Y 3.13-3.29
Sc2 0.7063 0.9904 0.0652  1 Sc 2.96, 5 Y 3.13-3.29

Calculated values
symmetry = No. 2
energy of formation = 0.374 eV per formula unit
energy above the lowest structure with this stoichiometry = 0.0 kJ per mole of atoms
DOS(E_F) = 27.6 states/eV per cell
crystal system = triclinic
size of the total moment = 0.00 μB/cell

The following is a PBE calculation of crystalline Pm3Y5Sc2 at its relaxed geometry, from Alexandria via LeMat-Bulk.

a = 9.3309 Å, b = 9.3395 Å, c = 11.1884 Å
α = 126.66°, β = 126.61°, γ = 64.57°
Last column: nearest neighbours and their distance in Å.
Element x y z (fractional)
Pm1 0.2736 0.0255 0.9518  5 Y 3.47-3.57, 4 Sc 3.49-3.60, 3 Pm 3.49-3.56
Pm2 0.7264 0.9745 0.0482  5 Y 3.47-3.57, 4 Sc 3.49-3.60, 3 Pm 3.49-3.56
Pm3 0.6773 0.4211 0.1500  2 Pm 3.49-3.59, 8 Y 3.51-3.59, 2 Sc 3.52-3.54
Pm4 0.3227 0.5789 0.8500  2 Pm 3.49-3.59, 8 Y 3.51-3.59, 2 Sc 3.52-3.54
Pm5 0.0796 0.8225 0.3497  8 Y 3.49-3.60, 2 Sc 3.52, 2 Pm 3.56-3.59
Pm6 0.9204 0.1775 0.6503  8 Y 3.49-3.60, 2 Sc 3.52, 2 Pm 3.56-3.59
Y1 0.2278 0.4779 0.0528  5 Pm 3.49-3.58, 5 Y 3.52-3.59, 2 Sc 3.52-3.53
Y2 0.7722 0.5221 0.9472  5 Pm 3.49-3.58, 5 Y 3.52-3.59, 2 Sc 3.52-3.53
Y3 0.9775 0.7274 0.5520  5 Pm 3.51-3.57, 2 Sc 3.52-3.53, 5 Y 3.54-3.58
Y4 0.4739 0.2261 0.5482  6 Y 3.47-3.56, 4 Sc 3.49-3.58, 2 Pm 3.49-3.56
Y5 0.0225 0.2726 0.4480  5 Pm 3.51-3.57, 2 Sc 3.52-3.53, 5 Y 3.54-3.58
Y6 0.5261 0.7739 0.4518  6 Y 3.47-3.56, 4 Sc 3.49-3.58, 2 Pm 3.49-3.56
Y7 0.8687 0.6309 0.7498  4 Sc 3.46-3.53, 3 Pm 3.47-3.56, 5 Y 3.47-3.59
Y8 0.1313 0.3691 0.2502  4 Sc 3.46-3.53, 3 Pm 3.47-3.56, 5 Y 3.47-3.59
Y9 0.3802 0.1206 0.7497  4 Y 3.49-3.58, 6 Pm 3.50-3.60, 2 Sc 3.51-3.53
Y10 0.6198 0.8794 0.2503  4 Y 3.49-3.58, 6 Pm 3.50-3.60, 2 Sc 3.51-3.53
Sc1 0.8285 0.0738 0.8520  7 Y 3.48-3.58, 1 Sc 3.48, 4 Pm 3.49-3.52
Sc2 0.1715 0.9262 0.1480  7 Y 3.48-3.58, 1 Sc 3.48, 4 Pm 3.49-3.52
Sc3 0.4267 0.6696 0.6455  1 Sc 3.43, 7 Y 3.46-3.53, 4 Pm 3.52-3.60
Sc4 0.5733 0.3304 0.3545  1 Sc 3.43, 7 Y 3.46-3.53, 4 Pm 3.52-3.60

Calculated values
symmetry = No. 2
energy of formation = 0.435 eV per formula unit
DOS(E_F) = 30.6 states/eV per cell
crystal system = triclinic
size of the total moment = 0.00 μB/cell